(1)
CuGe2Br: relaxed, GGA-PBEsol.

```
16
Lattice="6.639 0.000 0.000 0.000 6.639 0.000 0.000 0.000 6.639" Properties=species:S:1:pos:R:3 pbc="T T T"
Cu 0.000 0.000 0.000
Cu 0.000 3.319 3.319
Cu 3.319 0.000 3.319
Cu 3.319 3.319 0.000
Ge 1.660 1.660 1.660
Ge 1.660 1.660 4.979
Ge 1.660 4.979 1.660
Ge 1.660 4.979 4.979
Ge 4.979 1.660 1.660
Ge 4.979 1.660 4.979
Ge 4.979 4.979 1.660
Ge 4.979 4.979 4.979
Br 0.000 0.000 3.319
Br 0.000 3.319 0.000
Br 3.319 0.000 0.000
Br 3.319 3.319 3.319
```

Properties
- DFT total energy (eV/atom) = -3.50
- formation energy (no corrections) (meV per atom) = 524.5
- space group = Fm-3m, No. 225
- calculated density (Mg/m³) = 6.56

---

(2)
InCoW2: relaxed, GGA-PBEsol.

```
8
Lattice="3.733 0.000 0.000 0.000 3.733 0.000 0.000 0.000 8.663" Properties=species:S:1:pos:R:3 pbc="T T T"
In 0.000 0.000 0.000
In 1.867 1.867 4.331
Co 0.000 0.000 4.331
Co 1.867 1.867 0.000
W 0.000 1.867 2.166
W 0.000 1.867 6.497
W 1.867 0.000 2.166
W 1.867 0.000 6.497
```

Properties
- DFT total energy (eV/atom) = -9.21
- energy relative to the elements (eV/f.u.) = 1.48
- space group = I4/mmm, No. 139
- calculated density (Mg/m³) = 14.89

---

(3)
CaAg5: relaxed, GGA-PBEsol.

```
12
Lattice="9.215 0.000 0.000 0.000 4.280 0.000 -1.746 0.000 5.575" Properties=species:S:1:pos:R:3 pbc="T T T"
Ca 0.000 0.000 0.000
Ca 4.608 2.140 0.000
Ag -0.873 0.000 2.788
Ag 0.057 2.140 4.548
Ag 1.033 2.140 1.896
Ag 1.828 0.000 3.679
Ag 2.804 0.000 1.027
Ag 3.735 2.140 2.788
Ag 4.665 0.000 4.548
Ag 5.641 0.000 1.896
Ag 6.436 2.140 3.679
Ag 7.412 2.140 1.027
```

Properties
- DFT total energy (eV/atom) = -3.21
- energy relative to the elements (eV/f.u.) = -0.60
- space group = C2/m, No. 12
- calculated density (Mg/m³) = 8.75

---

(4)
LiHgSe2: relaxed, GGA-PBEsol.

```
4
Lattice="3.385 0.000 0.000 0.000 3.531 0.000 0.000 0.000 7.376" Properties=species:S:1:pos:R:3 pbc="T T T"
Li 0.000 0.000 0.000
Hg 0.000 0.000 3.688
Se 1.693 1.765 1.171
Se 1.693 1.765 6.205
```

Properties
- DFT total energy (eV/atom) = -2.90
- formation energy (no corrections) (meV per atom) = -339.1
- space group = Pmmm, No. 47
- calculated density (Mg/m³) = 6.88

---

(5)
BaTlIr2: relaxed, GGA-PBEsol.

```
16
Lattice="7.011 0.000 0.000 0.000 7.011 0.000 0.000 0.000 7.011" Properties=species:S:1:pos:R:3 pbc="T T T"
Ba 0.000 0.000 0.000
Ba 0.000 3.506 3.506
Ba 3.506 0.000 3.506
Ba 3.506 3.506 0.000
Tl 1.753 1.753 5.258
Tl 1.753 5.258 1.753
Tl 5.258 1.753 1.753
Tl 5.258 5.258 5.258
Ir 0.000 0.000 3.506
Ir 0.000 3.506 0.000
Ir 1.753 1.753 1.753
Ir 1.753 5.258 5.258
Ir 3.506 0.000 0.000
Ir 3.506 3.506 3.506
Ir 5.258 1.753 5.258
Ir 5.258 5.258 1.753
```

Properties
- DFT total energy (eV/atom) = -5.27
- energy relative to the elements (eV/f.u.) = 3.34
- space group = F-43m, No. 216
- calculated density (Mg/m³) = 13.99

---

(6)
CdIn: relaxed, GGA-PBEsol.

```
8
Lattice="4.571 0.000 0.000 0.000 4.571 0.000 0.000 0.000 8.863" Properties=species:S:1:pos:R:3 pbc="T T T"
Cd 0.000 1.143 3.324
Cd 0.000 3.428 5.540
Cd 2.285 1.143 1.108
Cd 2.285 3.428 7.756
In 0.000 1.143 7.756
In 0.000 3.428 1.108
In 2.285 1.143 5.540
In 2.285 3.428 3.324
```

Properties
- DFT total energy (eV/atom) = -2.06
- energy relative to the elements (eV/f.u.) = 0.07
- space group = I4_1/amd, No. 141
- calculated density (Mg/m³) = 8.15

---

(7)
MgZnMo2: relaxed, GGA-PBEsol.

```
4
Lattice="2.647 0.000 0.000 0.000 4.408 0.000 0.000 0.000 5.268" Properties=species:S:1:pos:R:3 pbc="T T T"
Mg 0.000 0.000 0.000
Zn 0.000 0.000 2.634
Mo 1.323 2.204 1.314
Mo 1.323 2.204 3.955
```

Properties
- DFT total energy (eV/atom) = -6.42
- energy relative to the elements (eV/f.u.) = 1.16
- space group = Pmmm, No. 47
- calculated density (Mg/m³) = 7.61
- relative energy among the computed polymorphs (eV/atom) = 0.1151

---

(8)
Ca2TaNbPt: relaxed, GGA-PBEsol.

```
5
Lattice="5.189 0.000 0.000 0.000 5.189 0.000 0.000 0.000 4.771" Properties=species:S:1:pos:R:3 pbc="T T T"
Ca 0.000 2.595 0.000
Ca 2.595 0.000 0.000
Ta 0.000 0.000 2.385
Nb 2.595 2.595 0.000
Pt 2.595 2.595 2.385
```

Properties
- DFT total energy (eV/atom) = -5.36
- energy relative to the elements (eV/f.u.) = 7.79
- space group = P4/mmm, No. 123
- calculated density (Mg/m³) = 7.10

---

(9)
ReIrBr2: relaxed, GGA-PBEsol.

```
4
Lattice="2.959 0.000 0.000 0.000 4.425 0.000 -0.387 0.000 5.162" Properties=species:S:1:pos:R:3 pbc="T T T"
Re 0.000 0.000 0.000
Ir 1.286 0.000 2.581
Br 0.553 2.213 1.286
Br 2.019 2.213 3.876
```

Properties
- DFT total energy (eV/atom) = -5.52
- formation energy (no corrections) (meV per atom) = 1206.5
- space group = P2/m, No. 10
- calculated density (Mg/m³) = 13.22
- relative energy among the computed polymorphs (eV/atom) = 0.8009

---

(10)
HfMn3Pb: relaxed, GGA-PBEsol.

```
5
Lattice="4.836 0.000 0.000 0.000 4.836 0.000 0.000 0.000 4.836" Properties=species:S:1:pos:R:3 pbc="T T T"
Hf 0.000 0.000 0.000
Mn 0.000 2.418 2.418
Mn 2.418 0.000 2.418
Mn 2.418 2.418 0.000
Pb 2.418 2.418 2.418
```

Properties
- DFT total energy (eV/atom) = -7.15
- energy relative to the elements (eV/f.u.) = 8.03
- space group = Pm-3m, No. 221
- calculated density (Mg/m³) = 8.08

---

(11)
NaCdC3: relaxed, GGA-PBEsol.

```
5
Lattice="4.334 0.000 0.000 0.000 4.334 0.000 0.000 0.000 4.334" Properties=species:S:1:pos:R:3 pbc="T T T"
Na 0.000 0.000 0.000
Cd 2.167 2.167 2.167
C 0.000 2.167 2.167
C 2.167 0.000 2.167
C 2.167 2.167 0.000
```

Properties
- DFT total energy (eV/atom) = -3.26
- energy relative to the elements (eV/f.u.) = 15.21
- space group = Pm-3m, No. 221
- calculated density (Mg/m³) = 3.50

---

(12)
SiSb2Mo: relaxed, GGA-PBEsol.

```
8
Lattice="8.422 0.000 0.000 0.000 3.374 0.000 -1.080 0.000 6.059" Properties=species:S:1:pos:R:3 pbc="T T T"
Si 0.000 0.000 0.000
Si 4.211 1.687 0.000
Sb -0.269 1.687 3.994
Sb 2.038 1.687 1.722
Sb 3.943 0.000 3.994
Sb 6.250 0.000 1.722
Mo 1.352 0.000 5.654
Mo 5.563 1.687 5.654
```

Properties
- DFT total energy (eV/atom) = -6.55
- formation energy (no corrections) (meV per atom) = 102.7
- space group = Cm, No. 8
- calculated density (Mg/m³) = 7.09